Entry from Alexandria: a geometry-optimized TcOsCl2 structure (PBE).

a b c (Å): 2.857 5.285 9.788
angles (deg): 90.00 90.00 90.00
Space group Cmm2 (No. 35)
Inequivalent atoms, fractional coordinates:
Tc: 0.000 0.000 0.000 (multiplicity 2)
Os: 0.000 0.500 0.773 (multiplicity 2)
Cl: 0.000 0.000 0.571 (multiplicity 2)
Cl: 0.000 0.500 0.200 (multiplicity 2)

Properties
The uncorrected formation energy is 191 kJ/mol of formula units. The density of states at the Fermi level comes out at 9.49 states/eV per cell. As for the magnetization: 1.11 μB/f.u. The value obtained for the final energy is -46.62 eV/cell.